No. 1
{"formula": "LaHf2Mo", "functional": "GGA-PBE", "state": "relaxed", "total_magnetization_mub_per_fu": 0.00, "relative_energy_ev_per_atom": 0.0000, "sg": "No. 123", "lattice_angstrom": [[3.386, 0.000, 0.000], [0.000, 3.386, 0.000], [0.000, 0.000, 8.298]], "species": ["Mo", "Hf", "Hf", "La"], "fractional_positions": [[0.500, 0.500, 0.000], [0.000, 0.000, 0.815], [0.000, 0.000, 0.185], [0.500, 0.500, 0.500]]}

=====

No. 2
{"formula": "LaHf2Mo", "functional": "GGA-PBE", "state": "relaxed", "total_magnetization_mub_per_fu": 0.00, "relative_energy_ev_per_atom": 0.2584, "sg": "No. 166", "lattice_angstrom": [[-0.014, 2.849, 1.512], [-2.741, 1.683, 0.244], [-3.077, -3.323, 9.668]], "species": ["Mo", "Hf", "Hf", "La"], "fractional_positions": [[0.500, 0.500, 0.500], [0.102, 0.102, 0.694], [0.898, 0.898, 0.306], [0.000, 0.000, 0.000]]}